The following is a DFT calculation (meta-GGA SCAN) of a crystal of Cr2GeC relaxed with PBEsol.

Output
* crystal system: hexagonal
* DFT total energy: -132.347 eV/cell

Structure (CIF):
```
data_Cr2GeC
_symmetry_space_group_name_H-M 'P 63/m m c'
_symmetry_Int_Tables_number 194
_symmetry_space_group_name_Hall '-P 6c 2c'
_cell_length_a 2.8965
_cell_length_b 2.8965
_cell_length_c 11.8960
_cell_angle_alpha 90.00
_cell_angle_beta 90.00
_cell_angle_gamma 120.00
loop_
_atom_site_label
_atom_site_type_symbol
_atom_site_fract_x
_atom_site_fract_y
_atom_site_fract_z
Cr1 Cr 0.3333 0.6667 0.0858
Ge1 Ge 0.3333 0.6667 0.7500
C1 C 0.0000 0.0000 0.0000
```

***

The following is a DFT calculation (meta-GGA SCAN) of a crystal of CrGeC3 relaxed with PBEsol.

Output
* crystal system: cubic
* DFT total energy: -55.097 eV/cell

Structure (CIF):
```
data_CrGeC3
_symmetry_space_group_name_H-M 'P m -3 m'
_symmetry_Int_Tables_number 221
_symmetry_space_group_name_Hall '-P 4 2 3'
_cell_length_a 3.8819
_cell_length_b 3.8819
_cell_length_c 3.8819
_cell_angle_alpha 90.00
_cell_angle_beta 90.00
_cell_angle_gamma 90.00
loop_
_atom_site_label
_atom_site_type_symbol
_atom_site_fract_x
_atom_site_fract_y
_atom_site_fract_z
Cr1 Cr 0.0000 0.0000 0.0000
Ge1 Ge 0.5000 0.5000 0.5000
C1 C 0.0000 0.5000 0.5000
```

***

The following is a DFT calculation (meta-GGA SCAN) of a crystal of La2CrGeC relaxed with PBEsol.

Output
* crystal system: tetragonal
* DFT total energy: -133.371 eV/cell

Structure (CIF):
```
data_La2CrGeC
_symmetry_space_group_name_H-M 'P 4/m m m'
_symmetry_Int_Tables_number 123
_symmetry_space_group_name_Hall '-P 4 2'
_cell_length_a 5.2140
_cell_length_b 5.2140
_cell_length_c 4.0228
_cell_angle_alpha 90.00
_cell_angle_beta 90.00
_cell_angle_gamma 90.00
loop_
_atom_site_label
_atom_site_type_symbol
_atom_site_fract_x
_atom_site_fract_y
_atom_site_fract_z
La1 La 0.0000 0.5000 0.0000
Cr1 Cr 0.0000 0.0000 0.5000
Ge1 Ge 0.5000 0.5000 0.5000
C1 C 0.5000 0.5000 0.0000
```

***

The following is a DFT calculation (meta-GGA SCAN) of a crystal of MgCr2GeC relaxed with PBEsol.

Output
* crystal system: tetragonal
* DFT total energy: -63.354 eV/cell

Structure (CIF):
```
data_MgCr2GeC
_symmetry_space_group_name_H-M 'P 4/m m m'
_symmetry_Int_Tables_number 123
_symmetry_space_group_name_Hall '-P 4 2'
_cell_length_a 4.5880
_cell_length_b 4.5880
_cell_length_c 4.8032
_cell_angle_alpha 90.00
_cell_angle_beta 90.00
_cell_angle_gamma 90.00
loop_
_atom_site_label
_atom_site_type_symbol
_atom_site_fract_x
_atom_site_fract_y
_atom_site_fract_z
Mg1 Mg 0.0000 0.0000 0.0000
Cr1 Cr 0.0000 0.5000 0.5000
Ge1 Ge 0.0000 0.0000 0.5000
C1 C 0.5000 0.5000 0.0000
```

***

The following is a DFT calculation (meta-GGA SCAN) of a crystal of CrGePt2C relaxed with PBEsol.

Output
* crystal system: tetragonal
* DFT total energy: -182.158 eV/cell

Structure (CIF):
```
data_CrGePt2C
_symmetry_space_group_name_H-M 'P 4/m m m'
_symmetry_Int_Tables_number 123
_symmetry_space_group_name_Hall '-P 4 2'
_cell_length_a 4.7094
_cell_length_b 4.7094
_cell_length_c 3.7223
_cell_angle_alpha 90.00
_cell_angle_beta 90.00
_cell_angle_gamma 90.00
loop_
_atom_site_label
_atom_site_type_symbol
_atom_site_fract_x
_atom_site_fract_y
_atom_site_fract_z
Cr1 Cr 0.0000 0.0000 0.0000
Ge1 Ge 0.5000 0.5000 0.5000
Pt1 Pt 0.0000 0.5000 0.5000
C1 C 0.5000 0.5000 0.0000
```

***

The following is a DFT calculation (meta-GGA SCAN) of a crystal of CrTcGeC2 relaxed with PBEsol.

Output
* crystal system: tetragonal
* DFT total energy: -84.826 eV/cell

Structure (CIF):
```
data_CrTcGeC2
_symmetry_space_group_name_H-M 'P 4/m m m'
_symmetry_Int_Tables_number 123
_symmetry_space_group_name_Hall '-P 4 2'
_cell_length_a 3.7039
_cell_length_b 3.7039
_cell_length_c 4.7700
_cell_angle_alpha 90.00
_cell_angle_beta 90.00
_cell_angle_gamma 90.00
loop_
_atom_site_label
_atom_site_type_symbol
_atom_site_fract_x
_atom_site_fract_y
_atom_site_fract_z
Cr1 Cr 0.0000 0.0000 0.0000
Tc1 Tc 0.5000 0.5000 0.5000
Ge1 Ge 0.0000 0.0000 0.5000
C1 C 0.0000 0.5000 0.0000
```

***

The following is a DFT calculation (meta-GGA SCAN) of a crystal of TlCrGeC2 relaxed with PBEsol.

Output
* crystal system: tetragonal
* DFT total energy: -116.081 eV/cell

Structure (CIF):
```
data_TlCrGeC2
_symmetry_space_group_name_H-M 'P 4/m m m'
_symmetry_Int_Tables_number 123
_symmetry_space_group_name_Hall '-P 4 2'
_cell_length_a 4.2268
_cell_length_b 4.2268
_cell_length_c 5.2452
_cell_angle_alpha 90.00
_cell_angle_beta 90.00
_cell_angle_gamma 90.00
loop_
_atom_site_label
_atom_site_type_symbol
_atom_site_fract_x
_atom_site_fract_y
_atom_site_fract_z
Tl1 Tl 0.0000 0.0000 0.0000
Cr1 Cr 0.0000 0.0000 0.5000
Ge1 Ge 0.5000 0.5000 0.5000
C1 C 0.0000 0.5000 0.0000
```

***

The following is a DFT calculation (meta-GGA SCAN) of a crystal of Na2CrH5C4O11 relaxed with PBEsol.

Output
* crystal system: monoclinic
* DFT total energy: -745.867 eV/cell

Structure (CIF):
```
data_Na2CrH5C4O11
_symmetry_space_group_name_H-M 'P 1 21/c 1'
_symmetry_Int_Tables_number 14
_cell_length_a 9.3863
_cell_length_b 8.6714
_cell_length_c 12.3074
_cell_angle_alpha 90.00
_cell_angle_beta 100.02
_cell_angle_gamma 90.00
loop_
_symmetry_equiv_pos_as_xyz
'x,y,z'
'-x,-y,-z'
'-x,y+1/2,-z+1/2'
'x,-y+1/2,z+1/2'
loop_
_atom_site_label
_atom_site_type_symbol
_atom_site_fract_x
_atom_site_fract_y
_atom_site_fract_z
Na1 Na 0.1360 0.1481 0.2226
Na2 Na 0.3588 0.1669 0.4900
Cr1 Cr 0.3944 0.5604 0.5647
H1 H 0.0597 0.1427 0.4541
H2 H 0.0932 0.5256 0.9188
H3 H 0.2407 0.5288 0.2208
H4 H 0.2523 0.6986 0.1842
H5 H 0.3967 0.6258 0.3634
C1 C 0.1259 0.5157 0.4358
C2 C 0.1320 0.6870 0.4711
C3 C 0.4274 0.1484 0.7451
C4 C 0.4473 0.5595 0.7925
O1 O 0.0208 0.0364 0.8715
O2 O 0.0313 0.7229 0.9334
O3 O 0.1179 0.0844 0.4084
O4 O 0.2374 0.0628 0.9821
O5 O 0.2454 0.7241 0.5409
O6 O 0.2590 0.6335 0.2509
O7 O 0.3126 0.1738 0.6797
O8 O 0.3480 0.5154 0.7117
O9 O 0.4479 0.5361 0.8914
O10 O 0.4520 0.1865 0.8477
O11 O 0.4715 0.6124 0.4319
```

***

The following is a DFT calculation (meta-GGA SCAN) of a crystal of RbCrH4C4O10 relaxed with PBEsol.

Output
* crystal system: monoclinic
* DFT total energy: -368.298 eV/cell

Structure (CIF):
```
data_RbCrH4C4O10
_symmetry_space_group_name_H-M 'C 1 2/m 1'
_symmetry_Int_Tables_number 12
_cell_length_a 6.6229
_cell_length_b 7.1253
_cell_length_c 10.2484
_cell_angle_alpha 90.00
_cell_angle_beta 91.28
_cell_angle_gamma 90.00
loop_
_symmetry_equiv_pos_as_xyz
'x,y,z'
'-x,-y,-z'
'-x,y,-z'
'x,-y,z'
'x+1/2,y+1/2,z'
'-x+1/2,-y+1/2,-z'
'-x+1/2,y+1/2,-z'
'x+1/2,-y+1/2,z'
loop_
_atom_site_label
_atom_site_type_symbol
_atom_site_fract_x
_atom_site_fract_y
_atom_site_fract_z
Rb1 Rb 0.0000 0.0000 0.0000
Cr1 Cr 0.0000 0.5000 0.5000
H1 H 0.1535 0.1173 0.4021
C1 C 0.1314 0.3915 0.2540
O1 O 0.0681 0.3192 0.3636
O2 O 0.1897 0.3011 0.1602
O3 O 0.2149 0.0000 0.4422
```

***

The following is a DFT calculation (meta-GGA SCAN) of a crystal of HfCrC3 relaxed with PBEsol.

Output
* crystal system: cubic
* DFT total energy: -106.434 eV/cell

Structure (CIF):
```
data_HfCrC3
_symmetry_space_group_name_H-M 'P m -3 m'
_symmetry_Int_Tables_number 221
_symmetry_space_group_name_Hall '-P 4 2 3'
_cell_length_a 3.7118
_cell_length_b 3.7118
_cell_length_c 3.7118
_cell_angle_alpha 90.00
_cell_angle_beta 90.00
_cell_angle_gamma 90.00
loop_
_atom_site_label
_atom_site_type_symbol
_atom_site_fract_x
_atom_site_fract_y
_atom_site_fract_z
Hf1 Hf 0.0000 0.0000 0.0000
Cr1 Cr 0.5000 0.5000 0.5000
C1 C 0.0000 0.5000 0.5000
```

***

The following is a DFT calculation (meta-GGA SCAN) of a crystal of CrHgC2I relaxed with PBEsol.

Output
* crystal system: tetragonal
* DFT total energy: -129.907 eV/cell

Structure (CIF):
```
data_CrHgC2I
_symmetry_space_group_name_H-M 'P 4/m m m'
_symmetry_Int_Tables_number 123
_symmetry_space_group_name_Hall '-P 4 2'
_cell_length_a 4.2050
_cell_length_b 4.2050
_cell_length_c 6.0022
_cell_angle_alpha 90.00
_cell_angle_beta 90.00
_cell_angle_gamma 90.00
loop_
_atom_site_label
_atom_site_type_symbol
_atom_site_fract_x
_atom_site_fract_y
_atom_site_fract_z
Cr1 Cr 0.0000 0.0000 0.0000
Hg1 Hg 0.5000 0.5000 0.0000
C1 C 0.0000 0.5000 0.5000
I1 I 0.5000 0.5000 0.5000
```

***

The following is a DFT calculation (meta-GGA SCAN) of a crystal of CrC2IO relaxed with PBEsol.

Output
* crystal system: tetragonal
* DFT total energy: -74.337 eV/cell

Structure (CIF):
```
data_CrC2IO
_symmetry_space_group_name_H-M 'P 4/m m m'
_symmetry_Int_Tables_number 123
_symmetry_space_group_name_Hall '-P 4 2'
_cell_length_a 3.5911
_cell_length_b 3.5911
_cell_length_c 5.2997
_cell_angle_alpha 90.00
_cell_angle_beta 90.00
_cell_angle_gamma 90.00
loop_
_atom_site_label
_atom_site_type_symbol
_atom_site_fract_x
_atom_site_fract_y
_atom_site_fract_z
Cr1 Cr 0.0000 0.0000 0.0000
C1 C 0.0000 0.5000 0.0000
I1 I 0.0000 0.0000 0.5000
O1 O 0.5000 0.5000 0.5000
```

***

The following is a DFT calculation (meta-GGA SCAN) of a crystal of ScCr2InC relaxed with PBEsol.

Output
* crystal system: tetragonal
* DFT total energy: -95.600 eV/cell

Structure (CIF):
```
data_ScCr2InC
_symmetry_space_group_name_H-M 'P 4/m m m'
_symmetry_Int_Tables_number 123
_symmetry_space_group_name_Hall '-P 4 2'
_cell_length_a 4.0203
_cell_length_b 4.0203
_cell_length_c 4.3604
_cell_angle_alpha 90.00
_cell_angle_beta 90.00
_cell_angle_gamma 90.00
loop_
_atom_site_label
_atom_site_type_symbol
_atom_site_fract_x
_atom_site_fract_y
_atom_site_fract_z
Sc1 Sc 0.0000 0.0000 0.0000
Cr1 Cr 0.0000 0.5000 0.5000
In1 In 0.5000 0.5000 0.0000
C1 C 0.0000 0.0000 0.5000
```

***

The following is a DFT calculation (meta-GGA SCAN) of a crystal of Cr2Ir2C relaxed with PBEsol.

Output
* crystal system: trigonal
* DFT total energy: -569.781 eV/cell

Structure (CIF):
```
data_Cr2Ir2C
_symmetry_space_group_name_H-M 'R -3 m'
_symmetry_Int_Tables_number 166
_symmetry_space_group_name_Hall '-R 3 2"'
_cell_length_a 2.7153
_cell_length_b 2.7153
_cell_length_c 26.1993
_cell_angle_alpha 90.00
_cell_angle_beta 90.00
_cell_angle_gamma 120.00
loop_
_atom_site_label
_atom_site_type_symbol
_atom_site_fract_x
_atom_site_fract_y
_atom_site_fract_z
Cr1 Cr 0.0000 0.0000 0.1230
Ir1 Ir 0.0000 0.0000 0.3781
C1 C 0.0000 0.0000 0.5000
```

***

The following is a DFT calculation (meta-GGA SCAN) of a crystal of K3CrC relaxed with PBEsol.

Output
* crystal system: cubic
* DFT total energy: -45.254 eV/cell

Structure (CIF):
```
data_K3CrC
_symmetry_space_group_name_H-M 'P m -3 m'
_symmetry_Int_Tables_number 221
_symmetry_space_group_name_Hall '-P 4 2 3'
_cell_length_a 6.5550
_cell_length_b 6.5550
_cell_length_c 6.5550
_cell_angle_alpha 90.00
_cell_angle_beta 90.00
_cell_angle_gamma 90.00
loop_
_atom_site_label
_atom_site_type_symbol
_atom_site_fract_x
_atom_site_fract_y
_atom_site_fract_z
K1 K 0.0000 0.0000 0.5000
Cr1 Cr 0.0000 0.0000 0.0000
C1 C 0.5000 0.5000 0.5000
```

***

The following is a DFT calculation (meta-GGA SCAN) of a crystal of KCrPCO7 relaxed with PBEsol.

Output
* crystal system: monoclinic
* DFT total energy: -228.271 eV/cell

Structure (CIF):
```
data_KCrPCO7
_symmetry_space_group_name_H-M 'P 1 21 1'
_symmetry_Int_Tables_number 4
_cell_length_a 5.0533
_cell_length_b 6.1525
_cell_length_c 9.4079
_cell_angle_alpha 90.00
_cell_angle_beta 98.64
_cell_angle_gamma 90.00
loop_
_symmetry_equiv_pos_as_xyz
'x,y,z'
'-x,y+1/2,-z'
loop_
_atom_site_label
_atom_site_type_symbol
_atom_site_fract_x
_atom_site_fract_y
_atom_site_fract_z
K1 K 0.0911 0.0000 0.1551
Cr1 Cr 0.2721 0.0874 0.6591
P1 P 0.3012 0.5895 0.5628
C1 C 0.4624 0.0869 0.9047
O1 O 0.0848 0.5918 0.4308
O2 O 0.2009 0.0889 0.8571
O3 O 0.2717 0.3929 0.6612
O4 O 0.2725 0.7857 0.6620
O5 O 0.4028 0.5937 0.2061
O6 O 0.4183 0.0878 0.4822
O7 O 0.4363 0.5791 0.9674
```

***

The following is a DFT calculation (meta-GGA SCAN) of a crystal of K3CrPCO7 relaxed with PBEsol.

Output
* crystal system: monoclinic
* DFT total energy: -271.852 eV/cell

Structure (CIF):
```
data_K3CrPCO7
_symmetry_space_group_name_H-M 'P 1 21/m 1'
_symmetry_Int_Tables_number 11
_cell_length_a 5.6374
_cell_length_b 6.5770
_cell_length_c 9.8555
_cell_angle_alpha 90.00
_cell_angle_beta 92.07
_cell_angle_gamma 90.00
loop_
_symmetry_equiv_pos_as_xyz
'x,y,z'
'-x,-y,-z'
'-x,y+1/2,-z'
'x,-y+1/2,z'
loop_
_atom_site_label
_atom_site_type_symbol
_atom_site_fract_x
_atom_site_fract_y
_atom_site_fract_z
K1 K 0.2407 0.0096 0.2264
K2 K 0.2411 0.7500 0.5796
Cr1 Cr 0.2511 0.2500 0.8543
P1 P 0.2978 0.7500 0.9228
C1 C 0.2746 0.2500 0.5773
O1 O 0.0961 0.2500 0.6600
O2 O 0.1314 0.7500 0.0418
O3 O 0.2331 0.2500 0.4477
O4 O 0.2550 0.5604 0.8288
O5 O 0.4342 0.2500 0.0307
O6 O 0.4877 0.2500 0.6291
```

***

The following is a DFT calculation (meta-GGA SCAN) of a crystal of KCrTe2C relaxed with PBEsol.

Output
* crystal system: tetragonal
* DFT total energy: -109.409 eV/cell

Structure (CIF):
```
data_KCrTe2C
_symmetry_space_group_name_H-M 'P 4/m m m'
_symmetry_Int_Tables_number 123
_symmetry_space_group_name_Hall '-P 4 2'
_cell_length_a 5.2640
_cell_length_b 5.2640
_cell_length_c 3.9153
_cell_angle_alpha 90.00
_cell_angle_beta 90.00
_cell_angle_gamma 90.00
loop_
_atom_site_label
_atom_site_type_symbol
_atom_site_fract_x
_atom_site_fract_y
_atom_site_fract_z
K1 K 0.0000 0.0000 0.0000
Cr1 Cr 0.5000 0.5000 0.0000
Te1 Te 0.0000 0.5000 0.5000
C1 C 0.5000 0.5000 0.5000
```

***

The following is a DFT calculation (meta-GGA SCAN) of a crystal of LiCrOsC2 relaxed with PBEsol.

Output
* crystal system: tetragonal
* DFT total energy: -102.695 eV/cell

Structure (CIF):
```
data_LiCrOsC2
_symmetry_space_group_name_H-M 'P 4/m m m'
_symmetry_Int_Tables_number 123
_symmetry_space_group_name_Hall '-P 4 2'
_cell_length_a 3.6883
_cell_length_b 3.6883
_cell_length_c 3.7822
_cell_angle_alpha 90.00
_cell_angle_beta 90.00
_cell_angle_gamma 90.00
loop_
_atom_site_label
_atom_site_type_symbol
_atom_site_fract_x
_atom_site_fract_y
_atom_site_fract_z
Li1 Li 0.0000 0.0000 0.0000
Cr1 Cr 0.0000 0.0000 0.5000
Os1 Os 0.5000 0.5000 0.0000
C1 C 0.0000 0.5000 0.5000
```

***

The following is a DFT calculation (meta-GGA SCAN) of a crystal of MgCr2C relaxed with PBEsol.

Output
* crystal system: cubic
* DFT total energy: -187.910 eV/cell

Structure (CIF):
```
data_MgCr2C
_symmetry_space_group_name_H-M 'F m -3 m'
_symmetry_Int_Tables_number 225
_symmetry_space_group_name_Hall '-F 4 2 3'
_cell_length_a 5.6292
_cell_length_b 5.6292
_cell_length_c 5.6292
_cell_angle_alpha 90.00
_cell_angle_beta 90.00
_cell_angle_gamma 90.00
loop_
_atom_site_label
_atom_site_type_symbol
_atom_site_fract_x
_atom_site_fract_y
_atom_site_fract_z
Mg1 Mg 0.0000 0.0000 0.0000
Cr1 Cr 0.2500 0.2500 0.2500
C1 C 0.0000 0.0000 0.5000
```

***

The following is a DFT calculation (meta-GGA SCAN) of a crystal of MgNbCr2C relaxed with PBEsol.

Output
* crystal system: tetragonal
* DFT total energy: -71.237 eV/cell

Structure (CIF):
```
data_MgNbCr2C
_symmetry_space_group_name_H-M 'P 4/m m m'
_symmetry_Int_Tables_number 123
_symmetry_space_group_name_Hall '-P 4 2'
_cell_length_a 4.3739
_cell_length_b 4.3739
_cell_length_c 4.8457
_cell_angle_alpha 90.00
_cell_angle_beta 90.00
_cell_angle_gamma 90.00
loop_
_atom_site_label
_atom_site_type_symbol
_atom_site_fract_x
_atom_site_fract_y
_atom_site_fract_z
Mg1 Mg 0.0000 0.0000 0.0000
Nb1 Nb 0.0000 0.0000 0.5000
Cr1 Cr 0.0000 0.5000 0.0000
C1 C 0.5000 0.5000 0.5000
```